Record 1
First-principles (meta-GGA SCAN) data for MnNb2Ga2 at its PBEsol-relaxed geometry, as listed in Alexandria.

It has space group P4/mbm (No. 127), with a = 6.4706 Å, b = 6.4706 Å, c = 3.7067 Å, α = 90.00°, β = 90.00° and γ = 90.00°. The distinct sites, in fractional coordinates, are Mn at (0.0000, 0.0000, 0.0000), Nb at (0.1700, 0.3300, 0.5000) and Ga at (0.1345, 0.6345, 0.0000).

The energy of formation from the pure elements is -366 meV/atom. The value obtained for the total energy is -238.08 eV per cell. The value obtained for the total magnetization is 2.10 μB/f.u.


Record 2
First-principles (meta-GGA SCAN) data for Cd2CuPb at its PBEsol-relaxed geometry, as listed in Alexandria.

It has space group I-4m2 (No. 119), with a = 4.3940 Å, b = 4.3940 Å, c = 8.5229 Å, α = 90.00°, β = 90.00° and γ = 90.00°. The distinct sites, in fractional coordinates, are Cd at (0.0000, 0.0000, 0.0000), Cd at (0.0000, 0.5000, 0.2500), Cu at (0.0000, 0.0000, 0.5000) and Pb at (0.0000, 0.5000, 0.7500).

The energy of formation from the pure elements is 248 meV/atom. The value obtained for the total energy is -301.63 eV per cell. The value obtained for the total magnetization is 0.00 μB/f.u.


Record 3
First-principles (meta-GGA SCAN) data for TeSeBr at its PBEsol-relaxed geometry, as listed in Alexandria.

It has space group P3m1 (No. 156), with a = 4.3151 Å, b = 4.3151 Å, c = 5.3426 Å, α = 90.00°, β = 90.00° and γ = 120.00°. The distinct sites, in fractional coordinates, are Te at (0.0000, 0.0000, 0.0000), Se at (0.6667, 0.3333, 0.2253) and Br at (0.3333, 0.6667, 0.6578).

For the energy relative to the elements, uncorrected, the calculation gives -0.0180 eV/atom. The value obtained for the total energy is -76.84 eV per cell. The value obtained for the total magnetization is 0.00 μB/f.u.


Record 4
First-principles (meta-GGA SCAN) data for MgTePCl2 at its PBEsol-relaxed geometry, as listed in Alexandria.

It has space group P4/mmm (No. 123), with a = 4.5381 Å, b = 4.5381 Å, c = 5.7073 Å, α = 90.00°, β = 90.00° and γ = 90.00°. The distinct sites, in fractional coordinates, are Mg at (0.0000, 0.0000, 0.0000), Te at (0.5000, 0.5000, 0.5000), P at (0.0000, 0.0000, 0.5000) and Cl at (0.0000, 0.5000, 0.0000).

For the energy relative to the elements, uncorrected, the calculation gives -0.4183 eV/atom. The value obtained for the total energy is -70.67 eV per cell. The value obtained for the total magnetization is 0.96 μB/f.u.


Record 5
First-principles (meta-GGA SCAN) data for Co2TcAs at its PBEsol-relaxed geometry, as listed in Alexandria.

It has space group R-3m (No. 166, hexagonal axes), with a = 2.6840 Å, b = 2.6840 Å, c = 23.4799 Å, α = 90.00°, β = 90.00° and γ = 120.00°. The distinct sites, in fractional coordinates, are Co at (0.0000, 0.0000, 0.2463), Tc at (0.0000, 0.0000, 0.0000) and As at (0.0000, 0.0000, 0.5000).

The energy of formation from the pure elements is 246 meV/atom. The value obtained for the total energy is -266.62 eV per cell. The value obtained for the total magnetization is 2.15 μB/f.u.


Record 6
First-principles (meta-GGA SCAN) data for Ru3Rh at its PBEsol-relaxed geometry, as listed in Alexandria.

It has space group Pmmn (No. 59, origin choice 2), with a = 5.3385 Å, b = 12.9656 Å, c = 4.6288 Å, α = 90.00°, β = 90.00° and γ = 90.00°. The distinct sites, in fractional coordinates, are Ru at (0.0007, 0.0859, 0.1676), Ru at (0.0009, 0.2500, 0.5006), Ru at (0.2500, 0.2500, 0.0000), Ru at (0.2500, 0.5845, 0.3331), Rh at (0.2500, 0.0841, 0.6663) and Rh at (0.2500, 0.7500, 0.0019).

The energy of formation from the pure elements is 77 meV/atom. The value obtained for the total energy is -827.66 eV per cell. The value obtained for the total magnetization is 0.00 μB/f.u.


Record 7
First-principles (meta-GGA SCAN) data for YHgPb2 at its PBEsol-relaxed geometry, as listed in Alexandria.

It has space group Pmmm (No. 47), with a = 3.6601 Å, b = 4.4575 Å, c = 6.5286 Å, α = 90.00°, β = 90.00° and γ = 90.00°. The distinct sites, in fractional coordinates, are Y at (0.0000, 0.0000, 0.0000), Hg at (0.0000, 0.0000, 0.5000) and Pb at (0.5000, 0.5000, 0.2502).

The energy of formation from the pure elements is -342 meV/atom. The value obtained for the total energy is -248.94 eV per cell. The value obtained for the total magnetization is 0.00 μB/f.u.


Record 8
First-principles (meta-GGA SCAN) data for Tb3Y at its PBEsol-relaxed geometry, as listed in Alexandria.

It has space group I4/mmm (No. 139), with a = 4.9376 Å, b = 4.9376 Å, c = 9.8671 Å, α = 90.00°, β = 90.00° and γ = 90.00°. The distinct sites, in fractional coordinates, are Tb at (0.0000, 0.0000, 0.0000), Tb at (0.0000, 0.5000, 0.2500) and Y at (0.0000, 0.0000, 0.5000).

The energy of formation from the pure elements is 27 meV/atom. The value obtained for the total energy is -336.04 eV per cell. The value obtained for the total magnetization is 0.00 μB/f.u.


Record 9
First-principles (meta-GGA SCAN) data for YTe2AsN at its PBEsol-relaxed geometry, as listed in Alexandria.

It has space group P4/mmm (No. 123), with a = 5.8383 Å, b = 5.8383 Å, c = 4.0180 Å, α = 90.00°, β = 90.00° and γ = 90.00°. The distinct sites, in fractional coordinates, are Y at (0.0000, 0.0000, 0.0000), Te at (0.0000, 0.5000, 0.0000), As at (0.5000, 0.5000, 0.5000) and N at (0.0000, 0.0000, 0.5000).

For the energy relative to the elements, uncorrected, the calculation gives 0.4711 eV/atom. The value obtained for the total energy is -129.47 eV per cell. The value obtained for the total magnetization is 0.74 μB/f.u. The energy above the lowest structure with this stoichiometry is 410 meV/atom.


Record 10
First-principles (meta-GGA SCAN) data for FeRe2Cl at its PBEsol-relaxed geometry, as listed in Alexandria.

It has space group Pmmm (No. 47), with a = 2.7349 Å, b = 4.4830 Å, c = 4.6460 Å, α = 90.00°, β = 90.00° and γ = 90.00°. The distinct sites, in fractional coordinates, are Fe at (0.0000, 0.0000, 0.0000), Re at (0.0000, 0.5000, 0.5000), Re at (0.5000, 0.5000, 0.0000) and Cl at (0.5000, 0.0000, 0.5000).

For the energy relative to the elements, uncorrected, the calculation gives 0.9704 eV/atom. The value obtained for the total energy is -164.42 eV per cell. The value obtained for the total magnetization is 2.96 μB/f.u. The energy above the lowest structure with this stoichiometry is 388 meV/atom.


Record 11
First-principles (meta-GGA SCAN) data for NiAs2P at its PBEsol-relaxed geometry, as listed in Alexandria.

It has space group I-42d (No. 122), with a = 5.3682 Å, b = 5.3682 Å, c = 10.6052 Å, α = 90.00°, β = 90.00° and γ = 90.00°. The distinct sites, in fractional coordinates, are Ni at (0.0000, 0.0000, 0.0000), As at (0.2261, 0.2500, 0.1250) and P at (0.0000, 0.0000, 0.5000).

The energy of formation from the pure elements is -14 meV/atom. The value obtained for the total energy is -268.04 eV per cell. The value obtained for the total magnetization is 0.00 μB/f.u.


Record 12
First-principles (meta-GGA SCAN) data for YAgTe2 at its PBEsol-relaxed geometry, as listed in Alexandria.

It has space group P-42_1m (No. 113), with a = 6.9145 Å, b = 6.9145 Å, c = 4.7003 Å, α = 90.00°, β = 90.00° and γ = 90.00°. The distinct sites, in fractional coordinates, are Y at (0.0000, 0.5000, 0.1813), Ag at (0.0000, 0.0000, 0.0000) and Te at (0.2023, 0.2977, 0.7002).

For the energy relative to the elements, uncorrected, the calculation gives -1.0300 eV/atom. The value obtained for the total energy is -275.66 eV per cell. The value obtained for the total magnetization is 0.00 μB/f.u.


These records have theoretical density values of 8.136; 10.002; 5.521; 3.585; 9.889; 12.629; 10.974; 7.810; 5.250; 13.518; 5.205; 6.680 g/cm³, in the order they appear.